This record from Alexandria via LeMat-Bulk describes a relaxed structure of TlV4O10. The functional is GGA+U.

Cell: 3.7141 6.1616 10.0531 Å, 100.16 90.00 107.54°
Element x y z (fractional)
1 V 0.0887 0.1774 0.1543
2 V 0.7940 0.5879 0.1592
3 V 0.2060 0.4121 0.8408
4 V 0.9113 0.8226 0.8457
5 O 0.9347 0.8694 0.0937
6 O 0.7421 0.4842 0.8833
7 O 0.2579 0.5158 0.1167
8 O 0.0653 0.1306 0.9063
9 O 0.0979 0.1958 0.3187
10 O 0.9021 0.8042 0.6813
11 O 0.8409 0.6819 0.3227
12 O 0.3788 0.7577 0.8714
13 O 0.1591 0.3181 0.6773
14 O 0.6212 0.2423 0.1286
15 Tl 0.5000 0.0000 0.5000

Crystal system: monoclinic
Size of the total moment: 1.00 μB/f.u.
SG: C2/m
E: -7.2040 eV per atom